(1)
LiY4Rh5: optimized geometry, PBE-GGA.

The structure belongs to space group P4/mmm (No. 123); the cell edges are 3.400, 3.400 and 16.343 Å and the angles 90.00°, 90.00° and 90.00°. The distinct sites, in fractional coordinates, are Li at (0.000, 0.000, 0.000), Y at (0.000, 0.000, 0.180), Y at (0.000, 0.000, 0.394), Rh at (0.500, 0.500, 0.084), Rh at (0.500, 0.500, 0.290) and Rh at (0.500, 0.500, 0.500).

The energy comes out at -71.4 eV for the cell shown. The volume comes out at 18.9 A^3/atom. The calculation puts the energy relative to the elements at -6.87 eV per formula unit.


(2)
NaZrTeO5: optimized geometry, PBE-GGA.

The structure belongs to space group C2/c (No. 15); the cell edges are 7.853, 8.745 and 8.304 Å and the angles 90.00°, 118.02° and 90.00°. The distinct sites, in fractional coordinates, are Na at (0.000, 0.073, 0.250), Zr at (0.250, 0.250, 0.000), Te at (0.000, 0.451, 0.250), O at (0.000, 0.254, 0.750), O at (0.079, 0.301, 0.134) and O at (0.241, 0.010, 0.044).

The energy comes out at -211.8 eV for the cell shown. The volume comes out at 15.7 A^3/atom. For the uncorrected formation energy, the calculation gives -1.894 eV/atom.


(3)
K4InCu: optimized geometry, PBE-GGA.

The structure belongs to space group F-43m (No. 216); the cell edges are 10.357, 10.357 and 10.357 Å and the angles 90.00°, 90.00° and 90.00°. The distinct sites, in fractional coordinates, are K at (0.125, 0.125, 0.125), In at (0.000, 0.000, 0.500) and Cu at (0.250, 0.250, 0.750).

The energy comes out at -32.3 eV for the cell shown. The volume comes out at 46.3 A^3/atom. The calculation puts the energy relative to the elements at 3.15 eV per formula unit.


(4)
Tl2InMo: optimized geometry, PBE-GGA.

The structure belongs to space group Imm2 (No. 44); the cell edges are 3.751, 4.794 and 9.968 Å and the angles 90.00°, 90.00° and 90.00°. The distinct sites, in fractional coordinates, are Tl at (0.000, 0.000, 0.000), Tl at (0.000, 0.500, 0.229), In at (0.000, 0.000, 0.458) and Mo at (0.000, 0.500, 0.735).

The energy comes out at -31.6 eV for the cell shown. The volume comes out at 22.4 A^3/atom. The polymorph energy (0 for the lowest one) comes out at 182 meV per atom. The calculation puts the energy relative to the elements at 2.52 eV per formula unit.


(5)
SrSiP2N6: optimized geometry, PBE-GGA.

The structure belongs to space group C2/c (No. 15); the cell edges are 9.901, 10.488 and 5.491 Å and the angles 90.00°, 112.48° and 90.00°. The distinct sites, in fractional coordinates, are Sr at (0.000, 0.119, 0.250), Si at (0.000, 0.242, 0.750), P at (0.206, 0.421, 0.163), N at (0.079, 0.317, 0.042), N at (0.130, 0.135, 0.743) and N at (0.202, 0.468, 0.446).

The energy comes out at -288.7 eV for the cell shown. The volume comes out at 13.2 A^3/atom. For the uncorrected formation energy, the calculation gives -0.430 eV/atom.


(6)
Sm3AgRu: optimized geometry, PBE-GGA.

The structure belongs to space group C2/m (No. 12); the cell edges are 6.561, 15.602 and 5.775 Å and the angles 90.00°, 117.82° and 90.00°. The distinct sites, in fractional coordinates, are Sm at (0.000, 0.191, 0.000), Sm at (0.192, 0.390, 0.363), Ag at (0.233, 0.000, 0.081) and Ru at (0.000, 0.249, 0.500).

The energy comes out at -110.4 eV for the cell shown. The volume comes out at 26.1 A^3/atom. The calculation puts the energy relative to the elements at -1.32 eV per formula unit.


(7)
KLiF3: optimized geometry, PBE-GGA.

The structure belongs to space group P1 (No. 1); the cell edges are 3.375, 6.520 and 7.046 Å and the angles 98.88°, 103.85° and 90.02°. The distinct sites, in fractional coordinates, are K at (0.000, 0.000, 0.000), K at (0.180, 0.624, 0.358), Li at (0.416, 0.530, 0.833), Li at (0.830, 0.241, 0.663), F at (0.397, 0.231, 0.796), F at (0.534, 0.711, 0.070), F at (0.612, 0.294, 0.221), F at (0.691, 0.109, 0.379), F at (0.772, 0.924, 0.542) and F at (0.841, 0.540, 0.683).

The energy comes out at -40.0 eV for the cell shown. The volume comes out at 14.9 A^3/atom. The polymorph energy (0 for the lowest one) comes out at 26 meV per atom. For the uncorrected formation energy, the calculation gives -2.277 eV/atom.


(8)
VZnSi2As: optimized geometry, PBE-GGA.

The structure belongs to space group P4/mmm (No. 123); the cell edges are 4.599, 4.599 and 4.815 Å and the angles 90.00°, 90.00° and 90.00°. The distinct sites, in fractional coordinates, are V at (0.000, 0.000, 0.000), Zn at (0.000, 0.000, 0.500), Si at (0.000, 0.500, 0.000) and As at (0.500, 0.500, 0.500).

The energy comes out at -21.8 eV for the cell shown. The volume comes out at 20.4 A^3/atom. For the uncorrected formation energy, the calculation gives 0.825 eV/atom.